VASP calculation (PBE) on Ag2PbO after structural relaxation.

Results
The calculation puts the density of states at the Fermi level at 1.7 states/eV per cell. The value obtained for the size of the total moment is 0.000 Bohr magnetons per cell. The value obtained for the raw total energy is -13.262 eV for the cell shown.

a b c (Å): 4.7075 4.7075 4.7075
angles (deg): 60.00 60.00 60.00
Sites, in units of the cell vectors:
Ag1 0.7500 0.7500 0.7500
Ag2 0.2500 0.2500 0.2500
O1 0.0000 0.0000 0.0000
Pb1 0.5000 0.5000 0.5000